VASP calculation (SCAN) on Os2RhPb at its PBEsol-relaxed geometry.

Results
Total magnetic moment = 0.00 μB per formula unit
Energy = -250.18 eV per formula unit
E_form = 0.784 eV/atom

Cell lengths 4.703, 2.864, 4.851 Å; angles 90.00, 105.91, 90.00 degrees
Space group P2/m (No. 10)
Symmetry-distinct sites (fractional):
Os 0.000 0.000 0.000 [1 per cell]
Os 0.500 0.500 0.000 [1 per cell]
Rh 0.000 0.500 0.500 [1 per cell]
Pb 0.500 0.000 0.500 [1 per cell]

***

VASP calculation (SCAN) on AlRe2Ir at its PBEsol-relaxed geometry.

Results
Total magnetic moment = 0.00 μB per formula unit
Energy = -221.76 eV per formula unit
E_form = -0.178 eV/atom

Cell lengths 6.109, 6.109, 6.109 Å; angles 90.00, 90.00, 90.00 degrees
Space group F-43m (No. 216)
Symmetry-distinct sites (fractional):
Al 0.000 0.000 0.000 [4 per cell]
Re 0.000 0.000 0.500 [4 per cell]
Re 0.250 0.250 0.250 [4 per cell]
Ir 0.250 0.250 0.750 [4 per cell]

***

VASP calculation (SCAN) on LiLaAgOs2 at its PBEsol-relaxed geometry.

Results
Total magnetic moment = 2.22 μB per formula unit
Energy = -215.30 eV per formula unit
E_form = 1.063 eV/atom

Cell lengths 4.907, 4.907, 4.287 Å; angles 90.00, 90.00, 90.00 degrees
Space group P4/mmm (No. 123)
Symmetry-distinct sites (fractional):
Li 0.000 0.000 0.000 [1 per cell]
La 0.500 0.500 0.000 [1 per cell]
Ag 0.000 0.000 0.500 [1 per cell]
Os 0.000 0.500 0.500 [2 per cell]

***

VASP calculation (SCAN) on LiSN2F at its PBEsol-relaxed geometry.

Results
Total magnetic moment = 6.02 μB per formula unit
Raw formation energy = 1.53 eV/atom
Energy = -26.48 eV per formula unit
Polymorph energy (0 for the lowest one) = 1317 meV/atom

Cell lengths 4.612, 4.612, 3.781 Å; angles 90.00, 90.00, 90.00 degrees
Space group P4/mmm (No. 123)
Symmetry-distinct sites (fractional):
Li 0.000 0.000 0.000 [1 per cell]
S 0.500 0.500 0.000 [1 per cell]
N 0.000 0.500 0.500 [2 per cell]
F 0.500 0.500 0.500 [1 per cell]